Below is an optimized crystal structure of Rb2Hg5Pd2, with properties calculated at the PBE level.

```
9
Lattice="5.380 0.000 0.000 0.000 5.380 0.000 0.000 0.000 10.634" Properties=species:S:1:pos:R:3 pbc="T T T"
Rb 0.000 0.000 0.000
Rb 0.000 0.000 5.317
Hg 2.690 0.000 2.572
Hg 2.690 0.000 8.062
Hg 2.690 2.690 5.317
Hg 0.000 2.690 2.572
Hg 0.000 2.690 8.062
Pd 2.690 2.690 2.615
Pd 2.690 2.690 8.019
```

Formation energy from the elements = -187 meV per atom
Total energy = -1.7232 eV/atom